# PBE Nb7Mo2Os3, relaxed
# energy of formation: 0.2201 eV/atom
# crystal system: orthorhombic
# raw total energy: -10.267 eV/atom
data_Nb7Mo2Os3
_chemical_formula_sum 'Nb14 Mo4 Os6'
_symmetry_space_group_name_H-M 'C m m m'
_symmetry_Int_Tables_number 65
_symmetry_space_group_name_Hall '-C 2 2'
_cell_length_a 4.5194
_cell_length_b 22.4614
_cell_length_c 4.3910
_cell_angle_alpha 90.00
_cell_angle_beta 90.00
_cell_angle_gamma 90.00
loop_
_atom_site_label
_atom_site_type_symbol
_atom_site_fract_x
_atom_site_fract_y
_atom_site_fract_z
Nb1 Nb 0.0000 0.0000 0.0000
Nb2 Nb 0.0000 0.0773 0.5000
Nb3 Nb 0.0000 0.2885 0.0000
Nb4 Nb 0.0000 0.4272 0.0000
Mo1 Mo 0.0000 0.1473 0.0000
Os1 Os 0.0000 0.3543 0.5000
Os2 Os 0.0000 0.5000 0.5000